A plane-wave DFT calculation with PBE was carried out for UAlC after structural relaxation.

Properties
Total moment in μB per formula unit: 0.2
E in eV/cell: -46.97

The structure in CIF format:
```
data_UAlC
_chemical_formula_sum 'U2 Al2 C2'
_space_group_name_H-M_alt 'P -3 m 1'
_space_group_IT_number 164
_space_group_name_Hall '-P 3 2"'
_cell_length_a 3.1010
_cell_length_b 3.1010
_cell_length_c 10.5818
_cell_angle_alpha 90.00
_cell_angle_beta 90.00
_cell_angle_gamma 120.00
loop_
_atom_site_label
_atom_site_fract_x
_atom_site_fract_y
_atom_site_fract_z
_atom_site_occupancy
U1 0.3333 0.6667 0.3672 1
Al1 0.3333 0.6667 0.1058 1
C1 0.3333 0.6667 0.7829 1
```